No. 1
Here is a relaxed structure of PdPb2F from Alexandria via LeMat-Bulk. Energies are from PBE-GGA.

```
PdPb2F
1.0
-4.198 -1.961 -1.436
-4.179 1.536 1.926
-3.098 2.596 -2.682
Pb Pd F
2 1 1
direct
0.250 0.250 0.250
0.750 0.750 0.750
0.500 0.500 0.500
0.000 0.000 0.000
```

Computed properties:
VASP energy: -4.37 eV per atom
Uncorrected formation energy: -0.75 eV per atom

No. 2
Here is a relaxed structure of Pd2PbF2 from Alexandria via LeMat-Bulk. Energies are from PBE-GGA.

```
Pd2PbF2
1.0
7.245 0.000 0.000
0.000 7.245 0.000
0.000 0.000 3.052
Pb Pd F
2 4 4
direct
0.000 0.000 0.000
0.500 0.500 0.000
0.372 0.872 0.000
0.872 0.628 0.000
0.628 0.128 0.000
0.128 0.372 0.000
0.184 0.684 0.500
0.684 0.816 0.500
0.816 0.316 0.500
0.316 0.184 0.500
```

Computed properties:
VASP energy: -4.10 eV per atom
Uncorrected formation energy: -0.53 eV per atom

No. 3
Here is a relaxed structure of PdPb2F from Alexandria via LeMat-Bulk. Energies are from PBE-GGA.

```
PdPb2F
1.0
5.596 0.000 0.000
0.000 5.596 0.000
2.798 2.798 6.900
Pb Pd F
4 2 2
direct
0.593 0.125 0.250
0.157 0.625 0.250
0.375 0.407 0.750
0.875 0.843 0.750
0.000 0.000 0.000
0.750 0.250 0.500
0.500 0.500 0.000
0.250 0.750 0.500
```

Computed properties:
VASP energy: -4.29 eV per atom
Uncorrected formation energy: -0.67 eV per atom

No. 4
Here is a relaxed structure of PdPbF2 from Alexandria via LeMat-Bulk. Energies are from PBE-GGA.

```
PdPbF2
1.0
1.874 0.000 7.905
-0.937 1.623 7.905
-0.937 -1.623 7.905
Pb Pd F
1 1 2
direct
0.500 0.500 0.500
0.000 0.000 0.000
0.913 0.913 0.913
0.087 0.087 0.087
```

Computed properties:
VASP energy: -4.26 eV per atom
Uncorrected formation energy: -1.10 eV per atom

No. 5
Here is a relaxed structure of PdPbF from Alexandria via LeMat-Bulk. Energies are from PBE-GGA.

```
PdPbF
1.0
3.405 0.000 0.000
0.000 8.544 0.399
-1.702 -0.486 8.078
F Pd Pb
4 4 4
direct
0.062 0.356 0.124
0.443 0.130 0.887
0.557 0.870 0.113
0.938 0.644 0.876
0.247 0.626 0.493
0.746 0.876 0.492
0.753 0.374 0.507
0.254 0.124 0.508
0.395 0.394 0.791
0.607 0.140 0.215
0.605 0.606 0.209
0.393 0.860 0.785
```

Computed properties:
VASP energy: -4.60 eV per atom
Uncorrected formation energy: -1.00 eV per atom

No. 6
Here is a relaxed structure of PdPbF2 from Alexandria via LeMat-Bulk. Energies are from PBE-GGA.

```
PdPbF2
1.0
0.000 3.140 3.140
3.140 0.000 3.140
3.140 3.140 0.000
Pb Pd F
1 1 2
direct
0.500 0.500 0.500
0.000 0.000 0.000
0.250 0.250 0.250
0.750 0.750 0.750
```

Computed properties:
VASP energy: -4.32 eV per atom
Uncorrected formation energy: -1.16 eV per atom

No. 7
Here is a relaxed structure of PdPb2F6 from Alexandria via LeMat-Bulk. Energies are from PBE-GGA.

```
PdPb2F6
1.0
8.989 0.016 0.000
-6.990 5.652 0.000
0.000 0.000 5.992
Pd Pb F
2 4 12
direct
0.500 0.500 0.500
0.000 0.000 0.000
0.162 0.838 0.500
0.838 0.162 0.500
0.338 0.662 0.000
0.662 0.338 0.000
0.513 0.013 0.750
0.487 0.987 0.250
0.987 0.487 0.250
0.013 0.513 0.750
0.579 0.750 0.665
0.421 0.250 0.335
0.921 0.750 0.165
0.250 0.079 0.835
0.079 0.250 0.835
0.750 0.921 0.165
0.250 0.421 0.335
0.750 0.579 0.665
```

Computed properties:
VASP energy: -4.65 eV per atom
Uncorrected formation energy: -2.01 eV per atom

No. 8
Here is a relaxed structure of PdPbF4 from Alexandria via LeMat-Bulk. Energies are from PBE-GGA.

```
PdPbF4
1.0
-1.218 -4.692 4.931
4.941 1.109 4.707
-4.381 4.544 -2.823
Pd Pb F
2 2 8
direct
0.000 0.500 0.500
0.500 0.000 0.500
0.750 0.750 0.000
0.250 0.250 0.000
0.462 0.962 0.163
0.201 0.701 0.163
0.538 0.038 0.837
0.038 0.201 0.500
0.799 0.299 0.837
0.299 0.462 0.500
0.962 0.799 0.500
0.701 0.538 0.500
```

Computed properties:
VASP energy: -4.53 eV per atom
Uncorrected formation energy: -1.80 eV per atom

No. 9
Here is a relaxed structure of PdPbF from Alexandria via LeMat-Bulk. Energies are from PBE-GGA.

```
PdPbF
1.0
-3.411 2.558 -0.416
-1.182 -5.191 -0.416
-0.422 -0.195 5.301
Pb Pd F
2 2 2
direct
0.863 0.706 0.792
0.137 0.294 0.208
0.550 0.078 0.758
0.450 0.922 0.242
0.177 0.341 0.655
0.823 0.659 0.345
```

Computed properties:
VASP energy: -4.49 eV per atom
Uncorrected formation energy: -0.90 eV per atom

No. 10
Here is a relaxed structure of Rb2PdPbF from Alexandria via LeMat-Bulk. Energies are from PBE-GGA.

```
Rb2PdPbF
1.0
-0.467 -2.909 5.715
4.617 -2.191 -0.739
2.842 5.043 2.799
Pb Rb Pd F
1 2 1 1
direct
0.000 0.500 0.000
0.000 0.000 0.500
0.500 0.000 0.000
0.000 0.000 0.000
0.500 0.500 0.500
```

Computed properties:
VASP energy: -3.14 eV per atom
Uncorrected formation energy: -0.60 eV per atom

No. 11
Here is a relaxed structure of SnPd2PbF from Alexandria via LeMat-Bulk. Energies are from PBE-GGA.

```
SnPd2PbF
1.0
5.072 0.000 0.000
0.000 5.072 0.000
0.000 0.000 6.098
Pb Sn Pd F
1 1 2 1
direct
0.000 0.000 0.000
0.000 0.000 0.500
0.000 0.500 0.000
0.500 0.000 0.000
0.500 0.500 0.500
```

Computed properties:
VASP energy: -3.52 eV per atom
Uncorrected formation energy: 0.47 eV per atom

No. 12
Here is a relaxed structure of TaPd2PbF from Alexandria via LeMat-Bulk. Energies are from PBE-GGA.

```
TaPd2PbF
1.0
-1.425 3.697 2.606
-2.379 1.204 -3.010
-3.548 -2.609 1.761
Pb F Pd Ta
1 1 2 1
direct
0.500 0.500 0.500
0.000 0.000 0.000
0.000 0.000 0.500
0.500 0.000 0.000
0.000 0.500 0.000
```

Computed properties:
VASP energy: -5.55 eV per atom
Uncorrected formation energy: 0.01 eV per atom